# 1
## AlCdRe2 (PBE-GGA)

Data for AlCdRe2 after structural relaxation.

Unit cell a=2.7278 b=2.7278 c=9.1705 alpha=90.00 beta=90.00 gamma=110.38
Last column: nearest neighbours and their distance in Å.
Atoms (fractional coordinates):
Re 0.0000 0.0000 0.0212  2 Al 2.61, 4 Re 2.73
Re 0.0000 0.0000 0.4788  2 Al 2.61, 4 Re 2.73
Al 0.5000 0.5000 0.2500  4 Re 2.61, 4 Al 2.73
Cd 0.5000 0.5000 0.7500  4 Cd 2.73, 4 Re 2.93

Properties
E_tot	-28.3	eV/f.u.
calculated formation energy	1.2	eV per formula unit
relative energy among the computed polymorphs	200	meV per atom
size of the total moment	0.00	μB/cell

# 2
## NiAu2Cl (PBE-GGA)

Data for NiAu2Cl after structural relaxation.

Unit cell a=3.3309 b=5.0531 c=5.0328 alpha=62.38 beta=90.00 gamma=90.00
Last column: nearest neighbours and their distance in Å.
Atoms (fractional coordinates):
Au 0.0000 0.9759 0.9757  2 Ni 2.56, 2 Au 2.64-2.65
Au 0.0000 0.5241 0.5243  2 Ni 2.56, 2 Au 2.64-2.65
Cl 0.5000 0.2500 0.2500  2 Ni 2.61, 4 Au 2.89
Ni 0.5000 0.7500 0.7500  4 Au 2.56, 2 Cl 2.61

Properties
E_tot	-13.0	eV/f.u.
relative energy among the computed polymorphs	261	meV per atom
formation energy (no corrections)	0.3058	eV/atom
size of the total moment	0.34	μB/cell

# 3
## Ce5PrN6 (PBE-GGA)

Data for Ce5PrN6 after structural relaxation.

Unit cell a=6.2125 b=6.2120 c=6.2115 alpha=60.00 beta=80.42 gamma=70.55
Last column: nearest neighbours and their distance in Å.
Atoms (fractional coordinates):
Pr 0.0000 0.0000 0.0000  6 N 2.62
Ce 0.5000 0.1666 0.6668  6 N 2.45-2.55
Ce 0.0000 0.3332 0.3335  6 N 2.53
Ce 0.5000 0.5000 0.0000  6 N 2.45-2.55
Ce 0.0000 0.6668 0.6665  6 N 2.53
Ce 0.5000 0.8334 0.3332  6 N 2.45-2.55
N 0.7436 0.0854 0.3460  5 Ce 2.45-2.55, 1 Pr 2.62
N 0.2564 0.5686 0.3460  5 Ce 2.45-2.55, 1 Pr 2.62
N 0.2558 0.2609 0.0000  5 Ce 2.45-2.55, 1 Pr 2.62
N 0.7442 0.7391 0.0000  5 Ce 2.45-2.55, 1 Pr 2.62
N 0.7436 0.4314 0.6540  5 Ce 2.45-2.55, 1 Pr 2.62
N 0.2564 0.9146 0.6540  5 Ce 2.45-2.55, 1 Pr 2.62

Properties
E_tot	-102.1	eV/f.u.
formation energy (no corrections)	-1.4724	eV/atom
size of the total moment	0.02	μB/cell